1.
Compound: MgNbOs4
Source: Alexandria via LeMat-Bulk
Functional: GGA-PBE
Structure: relaxed

Unit cell a=7.3162 b=7.3162 c=7.3162 alpha=90.00 beta=90.00 gamma=90.00
Space group F-43m (No. 216)
One atom of each set of equivalent atoms:
Mg (0.0000, 0.0000, 0.0000) (multiplicity 4)
Nb (0.2500, 0.2500, 0.2500) (multiplicity 4)
Os (0.1254, 0.1254, 0.6254) (multiplicity 16)

Calculated values
The calculation puts the formation energy at 0.1117 eV/atom. As for the total energy: -9.319 eV per atom. As for the calculated volume: 392 Å³/cell. As for the theoretical density: 14.9 Mg/m³.

2.
Compound: MgNb2Os
Source: Alexandria via LeMat-Bulk
Functional: GGA-PBE
Structure: relaxed

Unit cell a=2.8703 b=2.8703 c=31.0000 alpha=90.00 beta=90.00 gamma=120.00
Space group R-3m (No. 166, hexagonal axes)
One atom of each set of equivalent atoms:
Mg (0.0000, 0.0000, 0.0000) (multiplicity 3)
Nb (0.0000, 0.0000, 0.0942) (multiplicity 6)
Os (0.0000, 0.0000, 0.5000) (multiplicity 3)

Calculated values
The calculation puts the formation energy at 0.3556 eV/atom. As for the total energy: -7.885 eV per atom. As for the calculated volume: 221 Å³/cell. As for the theoretical density: 9.0 Mg/m³.